1.
A plane-wave DFT calculation with GGA-PBE was carried out for a geometry-optimized NbAl2Fe structure. Values from VASP.

Output
V (Å³/cell): 60.4
Crystal system: trigonal
Formation energy from the elements (eV/atom): -0.079
E_tot (eV per atom): -6.583
DOS(E_F) (states/eV/cell): 2.84

Cell and atoms, written as Quantum ESPRESSO input:
```
&SYSTEM
  ibrav = 0, nat = 4, ntyp = 3
/
ATOMIC_SPECIES
Fe 55.84 Fe.upf
Al 26.98 Al.upf
Nb 92.91 Nb.upf
ATOMIC_POSITIONS crystal
Fe 0.000 0.000 0.000
Al 0.276 0.276 0.171
Nb 0.500 0.500 0.500
Al 0.724 0.724 0.829
CELL_PARAMETERS angstrom
-3.468 -1.109 -1.840
-1.745 -3.571 0.920
-3.945 0.301 2.731
```


2.
A plane-wave DFT calculation with GGA-PBE was carried out for a geometry-optimized NbAl6Fe6 structure. Values from VASP.

Output
V (Å³/cell): 174.3
Crystal system: orthorhombic
Formation energy from the elements (eV/atom): -0.328
E_tot (eV per atom): -6.736
DOS(E_F) (states/eV/cell): 7.97

Cell and atoms, written as Quantum ESPRESSO input:
```
&SYSTEM
  ibrav = 0, nat = 13, ntyp = 3
/
ATOMIC_SPECIES
Al 26.98 Al.upf
Nb 92.91 Nb.upf
Fe 55.84 Fe.upf
ATOMIC_POSITIONS crystal
Al 0.324 0.176 0.176
Nb 0.000 0.000 0.000
Al 0.340 0.660 0.660
Fe 0.500 0.757 0.243
Al 0.000 0.671 0.329
Al 0.660 0.340 0.340
Fe 0.000 0.000 0.500
Al 0.000 0.329 0.671
Fe 0.000 0.500 0.000
Fe 0.500 0.500 0.000
Al 0.676 0.824 0.824
Fe 0.500 0.000 0.500
Fe 0.500 0.243 0.757
CELL_PARAMETERS angstrom
4.570 0.000 1.827
2.246 5.951 1.011
0.076 -0.037 6.440
```


3.
A plane-wave DFT calculation with GGA-PBE was carried out for a geometry-optimized NbAl2Fe structure. Values from VASP.

Output
V (Å³/cell): 127.6
Crystal system: tetragonal
Formation energy from the elements (eV/atom): 0.275
E_tot (eV per atom): -6.230
DOS(E_F) (states/eV/cell): 6.53

Cell and atoms, written as Quantum ESPRESSO input:
```
&SYSTEM
  ibrav = 0, nat = 8, ntyp = 3
/
ATOMIC_SPECIES
Nb 92.91 Nb.upf
Fe 55.84 Fe.upf
Al 26.98 Al.upf
ATOMIC_POSITIONS crystal
Nb 0.000 0.000 0.000
Fe 0.250 0.750 0.500
Al 0.619 0.125 0.250
Fe 0.500 0.500 0.000
Nb 0.750 0.250 0.500
Al 0.875 0.869 0.750
Al 0.131 0.625 0.250
Al 0.375 0.381 0.750
CELL_PARAMETERS angstrom
3.679 0.000 0.000
0.000 3.679 0.000
1.839 1.839 9.432
```


4.
A plane-wave DFT calculation with GGA-PBE was carried out for a geometry-optimized NbAlFe2 structure. Values from VASP.

Output
V (Å³/cell): 52.6
Crystal system: tetragonal
Formation energy from the elements (eV/atom): -0.275
E_tot (eV per atom): -7.959
DOS(E_F) (states/eV/cell): 1.24

Cell and atoms, written as Quantum ESPRESSO input:
```
&SYSTEM
  ibrav = 0, nat = 4, ntyp = 3
/
ATOMIC_SPECIES
Fe 55.84 Fe.upf
Nb 92.91 Nb.upf
Al 26.98 Al.upf
ATOMIC_POSITIONS crystal
Fe 0.000 0.000 0.746
Nb 0.500 0.500 0.000
Al 0.500 0.500 0.500
Fe 0.000 0.000 0.254
CELL_PARAMETERS angstrom
-0.818 -1.377 2.544
2.812 0.242 1.035
-1.312 5.148 2.365
```


5.
A plane-wave DFT calculation with GGA-PBE was carried out for a geometry-optimized Nb2AlFe structure. Values from VASP.

Output
V (Å³/cell): 70.1
Crystal system: trigonal
Formation energy from the elements (eV/atom): 0.321
E_tot (eV per atom): -7.765
DOS(E_F) (states/eV/cell): 3.07

Cell and atoms, written as Quantum ESPRESSO input:
```
&SYSTEM
  ibrav = 0, nat = 4, ntyp = 3
/
ATOMIC_SPECIES
Nb 92.91 Nb.upf
Fe 55.84 Fe.upf
Al 26.98 Al.upf
ATOMIC_POSITIONS crystal
Nb 0.266 0.266 0.201
Fe 0.000 0.000 0.000
Nb 0.734 0.734 0.799
Al 0.500 0.500 0.500
CELL_PARAMETERS angstrom
3.556 0.000 0.000
1.778 3.080 0.000
1.778 1.027 6.401
```


6.
A plane-wave DFT calculation with GGA-PBE was carried out for a geometry-optimized NbAl2Fe2 structure. Values from VASP.

Output
V (Å³/cell): 135.7
ΔE to the lowest computed polymorph (eV/atom): 0.0000
Crystal system: tetragonal
Formation energy from the elements (eV/atom): -0.145
E_tot (eV per atom): -7.041
DOS(E_F) (states/eV/cell): 8.06

Cell and atoms, written as Quantum ESPRESSO input:
```
&SYSTEM
  ibrav = 0, nat = 10, ntyp = 3
/
ATOMIC_SPECIES
Nb 92.91 Nb.upf
Fe 55.84 Fe.upf
Al 26.98 Al.upf
ATOMIC_POSITIONS crystal
Nb 0.000 0.000 0.000
Nb 0.500 0.500 0.000
Fe 0.348 0.848 0.000
Fe 0.152 0.348 0.000
Al 0.644 0.856 0.500
Fe 0.848 0.652 0.000
Fe 0.652 0.152 0.000
Al 0.356 0.144 0.500
Al 0.856 0.356 0.500
Al 0.144 0.644 0.500
CELL_PARAMETERS angstrom
-3.824 3.916 -4.120
-5.598 -3.452 1.915
-0.414 1.872 2.164
```


7.
A plane-wave DFT calculation with GGA-PBE was carried out for a geometry-optimized NbAl3Fe4 structure. Values from VASP.

Output
V (Å³/cell): 198.8
Crystal system: tetragonal
Formation energy from the elements (eV/atom): -0.346
E_tot (eV per atom): -7.240
DOS(E_F) (states/eV/cell): 16.06

Cell and atoms, written as Quantum ESPRESSO input:
```
&SYSTEM
  ibrav = 0, nat = 16, ntyp = 3
/
ATOMIC_SPECIES
Al 26.98 Al.upf
Nb 92.91 Nb.upf
Fe 55.84 Fe.upf
ATOMIC_POSITIONS crystal
Al 0.000 0.000 0.500
Al 0.500 0.500 0.250
Nb 0.000 0.500 0.000
Fe 0.000 0.243 0.250
Fe 0.500 0.243 0.500
Fe 0.000 0.243 0.750
Nb 0.000 0.500 0.500
Fe 0.500 0.243 0.000
Fe 0.500 0.757 0.500
Al 0.000 0.000 0.000
Fe 0.000 0.757 0.750
Al 0.500 0.000 0.250
Al 0.500 0.000 0.750
Al 0.500 0.500 0.750
Fe 0.500 0.757 0.000
Fe 0.000 0.757 0.250
CELL_PARAMETERS angstrom
4.126 0.000 0.000
0.000 5.838 0.000
0.000 0.000 8.252
```


8.
A plane-wave DFT calculation with GGA-PBE was carried out for a geometry-optimized Nb3AlFe structure. Values from VASP.

Output
V (Å³/cell): 96.6
ΔE to the lowest computed polymorph (eV/atom): 0.0000
Crystal system: cubic
Formation energy from the elements (eV/atom): 0.541
E_tot (eV per atom): -7.942
DOS(E_F) (states/eV/cell): 4.24

Cell and atoms, written as Quantum ESPRESSO input:
```
&SYSTEM
  ibrav = 0, nat = 5, ntyp = 3
/
ATOMIC_SPECIES
Nb 92.91 Nb.upf
Al 26.98 Al.upf
Fe 55.84 Fe.upf
ATOMIC_POSITIONS crystal
Nb 0.500 0.000 0.000
Al 0.500 0.500 0.500
Nb 0.000 0.000 0.500
Nb 0.000 0.500 0.000
Fe 0.000 0.000 0.000
CELL_PARAMETERS angstrom
-2.064 2.087 3.526
-4.052 -0.456 -2.102
-0.606 -4.060 2.048
```


9.
A plane-wave DFT calculation with GGA-PBE was carried out for a geometry-optimized Nb3AlFe8 structure. Values from VASP.

Output
V (Å³/cell): 154.9
ΔE to the lowest computed polymorph (eV/atom): 0.0058
Crystal system: trigonal
Formation energy from the elements (eV/atom): -0.183
E_tot (eV per atom): -8.654
DOS(E_F) (states/eV/cell): 13.24

Cell and atoms, written as Quantum ESPRESSO input:
```
&SYSTEM
  ibrav = 0, nat = 12, ntyp = 3
/
ATOMIC_SPECIES
Fe 55.84 Fe.upf
Nb 92.91 Nb.upf
Al 26.98 Al.upf
ATOMIC_POSITIONS crystal
Fe 0.169 0.661 0.251
Fe 0.000 0.000 0.007
Nb 0.667 0.667 0.066
Nb 0.667 0.667 0.443
Fe 0.000 0.000 0.500
Fe 0.661 0.169 0.251
Fe 0.337 0.832 0.750
Fe 0.832 0.832 0.750
Fe 0.832 0.337 0.750
Nb 0.333 0.333 0.923
Al 0.333 0.333 0.557
Fe 0.169 0.169 0.251
CELL_PARAMETERS angstrom
4.788 -0.001 0.001
2.395 4.146 0.000
-0.002 0.001 7.803
```


10.
A plane-wave DFT calculation with GGA-PBE was carried out for a geometry-optimized Nb2AlFe structure. Values from VASP.

Output
V (Å³/cell): 134.8
Crystal system: tetragonal
Formation energy from the elements (eV/atom): 0.264
E_tot (eV per atom): -7.823
DOS(E_F) (states/eV/cell): 9.72

Cell and atoms, written as Quantum ESPRESSO input:
```
&SYSTEM
  ibrav = 0, nat = 8, ntyp = 3
/
ATOMIC_SPECIES
Nb 92.91 Nb.upf
Fe 55.84 Fe.upf
Al 26.98 Al.upf
ATOMIC_POSITIONS crystal
Nb 0.375 0.326 0.750
Fe 0.000 0.000 0.000
Al 0.250 0.750 0.500
Nb 0.875 0.924 0.750
Nb 0.076 0.625 0.250
Al 0.500 0.500 0.000
Nb 0.674 0.125 0.250
Fe 0.750 0.250 0.500
CELL_PARAMETERS angstrom
-5.723 0.303 -4.285
3.712 -3.242 -5.188
-1.800 -3.814 -3.840
```


11.
A plane-wave DFT calculation with GGA-PBE was carried out for a geometry-optimized NbAl2Fe structure. Values from VASP.

Output
V (Å³/cell): 56.9
Crystal system: tetragonal
Formation energy from the elements (eV/atom): -0.334
E_tot (eV per atom): -6.838
DOS(E_F) (states/eV/cell): 4.18

Cell and atoms, written as Quantum ESPRESSO input:
```
&SYSTEM
  ibrav = 0, nat = 4, ntyp = 3
/
ATOMIC_SPECIES
Al 26.98 Al.upf
Nb 92.91 Nb.upf
Fe 55.84 Fe.upf
ATOMIC_POSITIONS crystal
Al 0.000 0.000 0.800
Nb 0.500 0.500 0.500
Fe 0.500 0.500 0.000
Al 0.000 0.000 0.200
CELL_PARAMETERS angstrom
-2.693 1.036 -0.136
-0.192 -0.859 -2.751
-2.426 -6.036 2.053
```


12.
A plane-wave DFT calculation with GGA-PBE was carried out for a geometry-optimized NbAl2Fe2 structure. Values from VASP.

Output
V (Å³/cell): 137.7
ΔE to the lowest computed polymorph (eV/atom): 0.0036
Crystal system: tetragonal
Formation energy from the elements (eV/atom): -0.141
E_tot (eV per atom): -7.038
DOS(E_F) (states/eV/cell): 14.03

Cell and atoms, written as Quantum ESPRESSO input:
```
&SYSTEM
  ibrav = 0, nat = 10, ntyp = 3
/
ATOMIC_SPECIES
Al 26.98 Al.upf
Nb 92.91 Nb.upf
Fe 55.84 Fe.upf
ATOMIC_POSITIONS crystal
Al 0.370 0.870 0.000
Al 0.630 0.130 0.000
Nb 0.500 0.500 0.000
Fe 0.166 0.666 0.500
Fe 0.666 0.834 0.500
Al 0.130 0.370 0.000
Al 0.870 0.630 0.000
Nb 0.000 0.000 0.000
Fe 0.834 0.334 0.500
Fe 0.334 0.166 0.500
CELL_PARAMETERS angstrom
7.161 0.000 0.000
0.000 7.161 0.000
0.000 0.000 2.684
```


- Which formula does entry 1 have?
  NbAl2Fe


- Which formula does entry 5 have?
  Nb2AlFe


- Which value of V does entry 3 give?
  127.6 Å³/cell